The following is a meta-GGA SCAN calculation of a PBEsol-optimized structure of Bi2PtPb2, from the Alexandria database.

Geometry as POSCAR:
```
Bi2PtPb2
1.0
-2.0282 2.0282 8.6638
2.0282 -2.0282 8.6638
2.0282 2.0282 -8.6638
Bi Pt Pb
2 1 2
direct
0.0845 0.0845 0.0000
0.9155 0.9155 0.0000
0.5000 0.5000 0.0000
0.2500 0.7500 0.5000
0.7500 0.2500 0.5000
```

Values from the calculation:
E_tot   -75.30 eV/atom
Total magnetization   0.00 μB/f.u.
Density of states at the Fermi level   0.65 states/eV/atom
Formation energy   0.48 eV/atom
Space-group type   I4/mmm